(one)
First-principles (GGA-PBE) data for a geometry-optimized Re4TcMo structure, as listed in Alexandria.

a b c (Å): 4.8013 6.2043 6.8238
angles (deg): 68.39 89.84 74.91
Atoms (fractional coordinates):
Re 0.0431 0.1211 0.2928
Re 0.1174 0.3706 0.8767
Re 0.2040 0.6243 0.4597
Re 0.3763 0.1283 0.6273
Re 0.6237 0.8717 0.3727
Re 0.7960 0.3757 0.5403
Re 0.8826 0.6294 0.1233
Re 0.9569 0.8789 0.7072
Tc 0.2921 0.8781 0.0432
Tc 0.7079 0.1219 0.9568
Mo 0.4626 0.3733 0.2100
Mo 0.5374 0.6267 0.7900

Calculated values
V: 15.12 A^3/atom
DOS(E_F): 9.2 states/eV per cell
Mass density: 17.2 g cm⁻³


(two)
First-principles (GGA-PBE) data for a geometry-optimized Re4TcMo structure, as listed in Alexandria.

a b c (Å): 5.1204 5.1204 5.1204
angles (deg): 60.00 60.00 60.00
Atoms (fractional coordinates):
Re 0.1250 0.1250 0.1250
Re 0.1250 0.1250 0.6251
Re 0.1250 0.6251 0.1250
Re 0.6251 0.1250 0.1250
Tc 0.5000 0.5000 0.5000
Mo 0.7500 0.7500 0.7500

Calculated values
V: 15.82 A^3/atom
DOS(E_F): 3.2 states/eV per cell
Mass density: 16.4 g cm⁻³


Stability summary: most stable (one), least stable (two).


(one)
First-principles (GGA-PBE) data for a geometry-optimized ReTc3Mo structure, as listed in Alexandria.

a b c (Å): 4.5545 4.5545 4.5545
angles (deg): 90.00 90.00 90.00
Atoms (fractional coordinates):
Re 0.0000 0.0000 0.0000
Tc 0.0000 0.5000 0.5000
Tc 0.5000 0.0000 0.5000
Tc 0.5000 0.5000 0.0000
Mo 0.5000 0.5000 0.5000

Calculated values
V: 18.90 A^3/atom
DOS(E_F): 8.7 states/eV per cell
Mass density: 10.1 g cm⁻³


(two)
First-principles (GGA-PBE) data for a geometry-optimized ReTc3Mo structure, as listed in Alexandria.

a b c (Å): 4.9999 5.0931 7.1552
angles (deg): 80.56 73.95 62.65
Atoms (fractional coordinates):
Re 0.1034 0.0122 0.1772
Re 0.8966 0.9878 0.8228
Tc 0.0539 0.5131 0.3263
Tc 0.3555 0.7752 0.4986
Tc 0.4142 0.9609 0.8067
Tc 0.5858 0.0391 0.1933
Tc 0.6445 0.2248 0.5014
Tc 0.9461 0.4869 0.6737
Mo 0.3201 0.4690 0.9084
Mo 0.6799 0.5310 0.0916

Calculated values
V: 15.54 A^3/atom
DOS(E_F): 7.5 states/eV per cell
Mass density: 12.3 g cm⁻³


(three)
First-principles (GGA-PBE) data for a geometry-optimized ReTc3Mo structure, as listed in Alexandria.

a b c (Å): 4.6134 4.6134 4.6134
angles (deg): 90.00 90.00 90.00
Atoms (fractional coordinates):
Re 0.0000 0.0000 0.0000
Tc 0.0000 0.0000 0.5000
Tc 0.0000 0.5000 0.0000
Tc 0.5000 0.0000 0.0000
Mo 0.5000 0.5000 0.5000

Calculated values
V: 19.64 A^3/atom
DOS(E_F): 8.1 states/eV per cell
Mass density: 9.7 g cm⁻³


Stability summary: most stable (two), least stable (one).


(one)
First-principles (GGA-PBE) data for a geometry-optimized ReTe4Mo structure, as listed in Alexandria.

a b c (Å): 6.2192 6.2192 6.2192
angles (deg): 60.00 60.00 60.00
Atoms (fractional coordinates):
Re 0.0000 0.0000 0.0000
Te 0.1249 0.6250 0.6250
Te 0.6250 0.1249 0.6250
Te 0.6250 0.6250 0.1249
Te 0.6250 0.6250 0.6250
Mo 0.2500 0.2500 0.2500

Calculated values
V: 28.35 A^3/atom
DOS(E_F): 6.5 states/eV per cell
Mass density: 7.7 g cm⁻³


(two)
First-principles (GGA-PBE) data for a geometry-optimized ReTe4Mo structure, as listed in Alexandria.

a b c (Å): 7.8447 7.8447 6.3906
angles (deg): 101.41 101.41 25.28
Atoms (fractional coordinates):
Re 0.0000 0.0000 0.0000
Te 0.0952 0.0952 0.4211
Te 0.3976 0.3976 0.1906
Te 0.6307 0.6307 0.9493
Te 0.8604 0.8604 0.6722
Mo 0.4915 0.4915 0.6199

Calculated values
V: 27.41 A^3/atom
DOS(E_F): 2.6 states/eV per cell
Mass density: 8.0 g cm⁻³


Stability summary: most stable (two), least stable (one).


(one)
First-principles (GGA-PBE) data for a geometry-optimized ThReMo structure, as listed in Alexandria.

a b c (Å): 10.6864 9.9406 5.4699
angles (deg): 82.32 67.20 30.48
Atoms (fractional coordinates):
Th 0.0470 0.7030 0.0470
Th 0.2970 0.9530 0.2970
Th 0.7030 0.0470 0.7030
Th 0.9530 0.2970 0.9530
Re 0.0008 0.0008 0.2492
Re 0.2492 0.2492 0.0008
Re 0.7508 0.7508 0.9992
Re 0.9992 0.9992 0.7508
Mo 0.3034 0.3034 0.4466
Mo 0.4466 0.4466 0.3034
Mo 0.5534 0.5534 0.6966
Mo 0.6966 0.6966 0.5534

Calculated values
V: 20.46 A^3/atom
DOS(E_F): 13.5 states/eV per cell
Mass density: 13.9 g cm⁻³


(two)
First-principles (GGA-PBE) data for a geometry-optimized ThReMo structure, as listed in Alexandria.

a b c (Å): 5.4748 5.4748 5.4748
angles (deg): 116.13 115.38 97.52
Atoms (fractional coordinates):
Th 0.3723 0.1223 0.2500
Th 0.6277 0.8777 0.7500
Re 0.0000 0.0000 0.5000
Re 0.0000 0.5000 0.0000
Mo 0.0000 0.5000 0.5000
Mo 0.5000 0.5000 0.0000

Calculated values
V: 20.39 A^3/atom
DOS(E_F): 4.9 states/eV per cell
Mass density: 14.0 g cm⁻³


Stability summary: most stable (two), least stable (one).


(one)
First-principles (GGA-PBE) data for a geometry-optimized TiRe2Mo structure, as listed in Alexandria.

a b c (Å): 5.6860 5.6860 5.6860
angles (deg): 102.35 102.35 124.92
Atoms (fractional coordinates):
Ti 0.0000 0.0000 0.0000
Ti 0.7500 0.2500 0.5000
Re 0.1368 0.6250 0.0118
Re 0.3750 0.3868 0.5118
Re 0.6132 0.1250 0.9882
Re 0.8750 0.8632 0.4882
Mo 0.2500 0.7500 0.5000
Mo 0.5000 0.5000 0.0000

Calculated values
V: 16.71 A^3/atom
DOS(E_F): 10.1 states/eV per cell
Mass density: 12.8 g cm⁻³


(two)
First-principles (GGA-PBE) data for a geometry-optimized TiRe2Mo structure, as listed in Alexandria.

a b c (Å): 4.4183 4.4183 4.4183
angles (deg): 60.00 60.00 60.00
Atoms (fractional coordinates):
Ti 0.0000 0.0000 0.0000
Re 0.2500 0.2500 0.2500
Re 0.7500 0.7500 0.7500
Mo 0.5000 0.5000 0.5000

Calculated values
V: 15.25 A^3/atom
DOS(E_F): 0.9 states/eV per cell
Mass density: 14.1 g cm⁻³


Stability summary: most stable (two), least stable (one).


(one)
First-principles (GGA-PBE) data for a geometry-optimized Ti3Re2Mo structure, as listed in Alexandria.

a b c (Å): 5.2283 5.2283 4.2992
angles (deg): 90.00 90.00 127.88
Atoms (fractional coordinates):
Ti 0.0000 0.0000 0.0000
Ti 0.3313 0.6687 0.0000
Ti 0.6687 0.3313 0.0000
Re 0.1673 0.8327 0.5000
Re 0.8327 0.1673 0.5000
Mo 0.5000 0.5000 0.5000

Calculated values
V: 15.46 A^3/atom
DOS(E_F): 8.1 states/eV per cell
Mass density: 11.0 g cm⁻³


(two)
First-principles (GGA-PBE) data for a geometry-optimized Ti3Re2Mo structure, as listed in Alexandria.

a b c (Å): 3.1255 3.1255 9.4300
angles (deg): 90.00 90.00 90.00
Atoms (fractional coordinates):
Ti 0.0000 0.0000 0.0000
Ti 0.0000 0.0000 0.3276
Ti 0.0000 0.0000 0.6724
Re 0.5000 0.5000 0.1663
Re 0.5000 0.5000 0.8337
Mo 0.5000 0.5000 0.5000

Calculated values
V: 15.35 A^3/atom
DOS(E_F): 8.9 states/eV per cell
Mass density: 11.0 g cm⁻³


Stability summary: most stable (two), least stable (one).